Record 1
## Zn2ReSb (PBE)

Data for crystalline Zn2ReSb at its relaxed geometry.

```
Zn2ReSb
1.0
-1.956 -7.705 3.549
0.113 -6.636 5.634
-2.888 -5.783 5.831
Re Sb Zn
1 1 2
Cartesian
-2.377 -10.109 7.542
-3.582 -15.236 11.366
-4.695 -19.970 14.899
-1.174 -4.996 3.727
```

Properties
For the magnetic moment, the calculation gives 0.00 μB per formula unit. The calculation puts the formation energy without anion corrections at 0.3997 eV per atom. For the calculated volume, the calculation gives 72.1 Å³/f.u.

=====

Record 2
## ZnReSb2 (PBE)

Data for crystalline ZnReSb2 at its relaxed geometry.

```
ZnReSb2
1.0
-3.180 -2.648 1.911
2.081 -2.817 -0.440
3.029 -0.629 4.170
Re Sb Zn
1 2 1
Cartesian
1.890 -3.367 3.918
4.827 -3.328 3.421
-0.004 -2.293 2.252
2.883 -2.276 1.644
```

Properties
For the magnetic moment, the calculation gives 0.00 μB per formula unit. The calculation puts the formation energy without anion corrections at 0.3451 eV per atom. For the calculated volume, the calculation gives 78.6 Å³/f.u.

=====

Record 3
## Zn2Re2Sb (PBE)

Data for crystalline Zn2Re2Sb at its relaxed geometry.

```
Zn2Re2Sb
1.0
-0.886 -0.609 -3.551
-1.480 -3.272 0.931
-6.880 0.901 -0.376
Re Zn Sb
2 2 1
Cartesian
-4.474 -0.824 -2.618
-4.771 -2.156 -0.378
-2.309 -1.379 -1.125
-6.936 -1.601 -1.871
0.000 0.000 0.000
```

Properties
For the polymorph energy (0 for the lowest one), the calculation gives 0.00 eV/f.u. For the magnetic moment, the calculation gives 0.00 μB per formula unit. The calculation puts the formation energy without anion corrections at 0.6436 eV per atom. For the calculated volume, the calculation gives 88.6 Å³/f.u.

=====

Record 4
## ZnRe2Sb (PBE)

Data for crystalline ZnRe2Sb at its relaxed geometry.

```
ZnRe2Sb
1.0
-1.230 -2.402 -3.655
-2.050 -1.489 1.668
-3.237 3.269 -1.059
Re Sb Zn
2 1 1
Cartesian
-1.902 -1.193 1.424
-2.055 -1.084 -1.420
-2.532 1.224 0.048
-4.721 -0.168 -1.125
```

Properties
For the polymorph energy (0 for the lowest one), the calculation gives 0.90 eV/f.u. For the magnetic moment, the calculation gives 0.00 μB per formula unit. The calculation puts the formation energy without anion corrections at 0.4651 eV per atom. For the calculated volume, the calculation gives 65.1 Å³/f.u.

=====

Record 5
## ZnReSb2 (PBE)

Data for crystalline ZnReSb2 at its relaxed geometry.

```
ZnReSb2
1.0
3.327 0.000 0.000
0.000 3.327 0.000
0.000 0.000 7.639
Re Sb Zn
1 2 1
Cartesian
1.664 1.664 5.451
0.000 0.000 7.018
1.664 1.664 2.448
0.000 0.000 4.180
```

Properties
For the magnetic moment, the calculation gives 0.00 μB per formula unit. The calculation puts the formation energy without anion corrections at 0.3596 eV per atom. For the calculated volume, the calculation gives 84.6 Å³/f.u.

=====

Record 6
## Zn2ReSb (PBE)

Data for crystalline Zn2ReSb at its relaxed geometry.

```
Zn2ReSb
1.0
4.583 0.000 0.000
2.292 3.969 0.000
2.292 1.323 3.742
Re Sb Zn
1 1 2
Cartesian
4.583 2.646 1.871
6.875 3.969 2.807
0.000 0.000 0.000
2.292 1.323 0.936
```

Properties
For the magnetic moment, the calculation gives 0.00 μB per formula unit. The calculation puts the formation energy without anion corrections at 0.6107 eV per atom. For the calculated volume, the calculation gives 68.1 Å³/f.u.

=====

Record 7
## ZnRe2Sb (PBE)

Data for crystalline ZnRe2Sb at its relaxed geometry.

```
ZnRe2Sb
1.0
-3.392 -2.627 2.571
-1.406 -4.611 1.335
1.814 -0.872 4.312
Re Sb Zn
2 1 1
Cartesian
0.029 -0.123 0.244
-2.220 -5.947 5.974
-1.380 -4.024 4.239
-0.905 -2.071 1.869
```

Properties
For the polymorph energy (0 for the lowest one), the calculation gives 1.01 eV/f.u. For the magnetic moment, the calculation gives 0.00 μB per formula unit. The calculation puts the formation energy without anion corrections at 0.4917 eV per atom. For the calculated volume, the calculation gives 65.8 Å³/f.u.

=====

Record 8
## Zn2ReSb (PBE)

Data for crystalline Zn2ReSb at its relaxed geometry.

```
Zn2ReSb
1.0
-3.001 -3.509 -7.715
-3.625 -5.825 -5.811
-5.603 -3.504 -6.098
Re Sb Zn
1 1 2
Cartesian
-3.057 -3.210 -4.906
-9.172 -9.629 -14.718
-12.138 -12.742 -19.477
-6.207 -6.515 -9.959
```

Properties
For the magnetic moment, the calculation gives 0.38 μB per formula unit. The calculation puts the formation energy without anion corrections at 0.5150 eV per atom. For the calculated volume, the calculation gives 71.6 Å³/f.u.

=====

Record 9
## ZnReSb2 (PBE)

Data for crystalline ZnReSb2 at its relaxed geometry.

```
ZnReSb2
1.0
3.581 0.000 0.000
0.000 5.007 0.000
0.000 0.000 4.417
Re Sb Zn
1 2 1
Cartesian
0.000 2.504 2.209
0.000 0.000 0.000
1.791 2.504 0.000
1.791 0.000 2.209
```

Properties
For the magnetic moment, the calculation gives 0.00 μB per formula unit. The calculation puts the formation energy without anion corrections at 0.7911 eV per atom. For the calculated volume, the calculation gives 79.2 Å³/f.u.

=====

Record 10
## ZnRe2Sb (PBE)

Data for crystalline ZnRe2Sb at its relaxed geometry.

```
ZnRe2Sb
1.0
-2.101 0.932 1.879
-0.943 -1.333 -2.479
0.210 -7.592 4.001
Re Sb Zn
2 1 1
Cartesian
0.210 -7.585 3.997
0.105 -3.803 2.004
-1.469 -2.098 0.700
-1.365 -5.895 2.701
```

Properties
For the polymorph energy (0 for the lowest one), the calculation gives 2.52 eV/f.u. For the magnetic moment, the calculation gives 0.00 μB per formula unit. The calculation puts the formation energy without anion corrections at 0.8714 eV per atom. For the calculated volume, the calculation gives 67.8 Å³/f.u.

=====

Record 11
## Zn2ReSb (PBE)

Data for crystalline Zn2ReSb at its relaxed geometry.

```
Zn2ReSb
1.0
4.993 0.009 0.000
-1.905 4.615 0.000
0.000 0.000 2.934
Re Sb Zn
1 1 2
Cartesian
2.496 0.005 1.467
-0.952 2.307 1.467
0.000 0.000 0.000
1.544 2.312 0.000
```

Properties
For the magnetic moment, the calculation gives 0.00 μB per formula unit. The calculation puts the formation energy without anion corrections at 0.5082 eV per atom. For the calculated volume, the calculation gives 67.7 Å³/f.u.

=====

Record 12
## ZnRe2Sb (PBE)

Data for crystalline ZnRe2Sb at its relaxed geometry.

```
ZnRe2Sb
1.0
-0.809 -2.612 -0.881
1.981 0.152 2.075
-7.110 -0.088 6.791
Re Sb Zn
2 1 1
Cartesian
-0.064 -0.001 0.061
-0.996 -1.249 2.108
-3.467 -0.043 3.312
-4.966 -1.299 5.900
```

Properties
For the polymorph energy (0 for the lowest one), the calculation gives 1.34 eV/f.u. For the magnetic moment, the calculation gives 0.00 μB per formula unit. The calculation puts the formation energy without anion corrections at 0.5765 eV per atom. For the calculated volume, the calculation gives 71.9 Å³/f.u.

=====

Q: What is the formation energy without anion corrections in the first record?
A: 0.3997 eV per atom